(1)
Here is a relaxed CsNaNbOF5 crystal from Alexandria via LeMat-Bulk. Energies are from GGA-PBEsol.

The structure in POSCAR format:
```
CsNaNbOF5
1.0
8.325 0.000 0.000
0.000 13.267 0.000
0.000 0.000 11.180
Cs Na Nb O F
8 8 8 8 40
Cartesian
0.000 0.996 2.795
0.000 5.079 8.385
0.000 8.188 2.795
0.000 12.270 8.385
4.163 1.555 2.795
4.163 5.637 8.385
4.163 7.629 2.795
4.163 11.712 8.385
2.038 4.698 0.894
2.038 8.569 6.484
2.125 1.936 6.484
2.125 11.331 0.894
6.201 1.936 10.286
6.201 11.331 4.696
6.288 4.698 4.696
6.288 8.569 10.286
2.044 4.871 4.672
2.044 8.396 10.262
2.119 1.762 10.262
2.119 11.504 4.672
6.206 1.762 6.507
6.206 11.504 0.917
6.282 4.871 0.917
6.282 8.396 6.507
1.756 5.515 3.035
1.756 7.751 8.625
2.407 1.118 8.625
2.407 12.148 3.035
5.918 1.118 8.145
5.918 12.148 2.555
6.570 5.515 2.555
6.570 7.751 8.145
0.175 5.043 5.272
0.175 8.223 10.862
0.188 2.079 10.013
0.188 11.188 4.423
1.646 0.030 11.071
1.646 13.236 5.481
1.800 2.938 4.313
1.800 10.329 9.903
1.855 2.460 1.064
1.855 10.806 6.654
2.308 4.173 6.654
2.308 9.094 1.064
2.363 3.695 9.903
2.363 9.571 4.313
2.516 6.603 5.481
2.516 6.664 11.071
3.975 4.555 4.423
3.975 8.712 10.013
3.987 1.590 10.862
3.987 11.677 5.272
4.338 1.590 5.908
4.338 11.677 0.318
4.351 4.555 1.167
4.351 8.712 6.757
5.809 6.603 0.108
5.809 6.664 5.698
5.962 3.695 6.867
5.962 9.571 1.277
6.018 4.173 10.115
6.018 9.094 4.525
6.470 2.460 4.525
6.470 10.806 10.115
6.526 2.938 1.277
6.526 10.329 6.867
6.679 0.030 5.698
6.679 13.236 0.108
8.137 2.079 6.757
8.137 11.188 1.167
8.150 5.043 0.318
8.150 8.223 5.908
```

Summary:
total magnetization	0.11	μB per formula unit


(2)
Here is a relaxed Cs2NaNdF6 crystal from Alexandria via LeMat-Bulk. Energies are from GGA-PBEsol.

The structure in POSCAR format:
```
Cs2NaNdF6
1.0
0.000 4.568 4.568
4.568 0.000 4.568
4.568 4.568 0.000
Cs Na Nd F
2 1 1 6
Cartesian
2.284 2.284 2.284
6.852 6.852 6.852
0.000 0.000 0.000
4.568 4.568 4.568
4.568 4.568 2.308
4.568 2.308 4.568
6.827 4.568 4.568
2.308 4.568 4.568
4.568 6.827 4.568
4.568 4.568 6.827
```

Summary:
total magnetization	0.05	μB per formula unit


(3)
Here is a relaxed CsNaOF2 crystal from Alexandria via LeMat-Bulk. Energies are from GGA-PBEsol.

The structure in POSCAR format:
```
CsNaOF2
1.0
4.471 0.000 0.000
0.000 4.471 0.000
0.000 0.000 4.464
Cs Na O F
1 1 1 2
Cartesian
0.000 0.000 0.000
2.235 2.235 2.232
2.235 2.235 0.000
0.000 2.235 2.232
2.235 0.000 2.232
```

Summary:
total magnetization	2.01	μB per formula unit


no.,formation energy from raw total energies (eV/f.u.),mass density (g/cm3)
1,-26.5,3.9
2,-32.9,4.8
3,-7.3,3.9